Record 1
Below is a geometry-optimized LuRhPbAu structure, with properties calculated at the PBE-GGA level.

Summary:
Formation energy: -180 kJ/mol of formula units
Total energy: -20.73 eV per cell
Density: 13.9 g cm⁻³
Density of states at the Fermi level: 0.60 states/eV per atom

a b c (Å): 4.8719 4.8719 4.8719
angles (deg): 60.00 60.00 60.00
Element x y z (fractional)
Lu (0.7500, 0.7500, 0.7500)
Pb (0.2500, 0.2500, 0.2500)
Rh (0.5000, 0.5000, 0.5000)
Au (0.0000, 0.0000, 0.0000)

=====

Record 2
Below is a geometry-optimized ReMo4W structure, with properties calculated at the PBE-GGA level.

Summary:
Formation energy: 954 kJ/mol of formula units
Total energy: -58.84 eV per cell
Density: 10.3 g cm⁻³
Density of states at the Fermi level: 1.00 states/eV per atom

a b c (Å): 4.6431 5.1243 5.1243
angles (deg): 89.81 90.00 90.00
Element x y z (fractional)
Mo (0.0000, 0.8283, 0.8283)
Mo (0.0000, 0.1717, 0.1717)
Mo (0.5000, 0.6676, 0.3323)
Mo (0.5000, 0.3324, 0.6677)
W (0.5000, 0.0000, 0.0000)
Re (0.0000, 0.5000, 0.5000)

=====

Record 3
Below is a geometry-optimized TaCdPdCl2 structure, with properties calculated at the PBE-GGA level.

Summary:
Total energy: -17.29 eV per cell
Density: 6.4 g cm⁻³
Density of states at the Fermi level: 1.40 states/eV per atom
Formation energy without anion corrections: 0.873 eV per atom

a b c (Å): 4.7352 4.7352 5.4513
angles (deg): 90.00 90.00 90.00
Last column: magnetic moment on the atom in μB.
Element x y z (fractional)
Pd (0.0000, 0.0000, 0.0000)  0.02
Cd (0.0000, 0.0000, 0.5000)  0.01
Cl (0.0000, 0.5000, 0.0000)  -0.01
Cl (0.5000, 0.0000, 0.0000)  -0.01
Ta (0.5000, 0.5000, 0.5000)  1.93

=====

Record 4
Below is a geometry-optimized NaTl2SnCl6 structure, with properties calculated at the PBE-GGA level.

Summary:
Total energy: -64.89 eV per cell
Density: 4.0 g cm⁻³
Formation energy without anion corrections: -1.131 eV per atom

a b c (Å): 7.6044 7.6044 13.4235
angles (deg): 73.55 73.55 60.00
Element x y z (fractional)
Cl (0.2675, 0.8098, 0.1129)
Cl (0.3739, 0.3739, 0.3664)
Cl (0.8098, 0.8098, 0.1129)
Cl (0.1902, 0.7325, 0.8871)
Cl (0.1142, 0.6261, 0.6336)
Cl (0.1902, 0.1902, 0.8871)
Cl (0.3739, 0.8858, 0.3664)
Cl (0.7325, 0.1902, 0.8871)
Cl (0.8858, 0.3739, 0.3664)
Cl (0.6261, 0.6261, 0.6336)
Cl (0.6261, 0.1142, 0.6336)
Cl (0.8098, 0.2675, 0.1129)
Sn (0.5000, 0.5000, 0.5000)
Sn (0.0000, 0.0000, 0.0000)
Tl (0.8506, 0.8506, 0.4482)
Tl (0.2714, 0.2714, 0.1859)
Tl (0.1494, 0.1494, 0.5518)
Tl (0.7286, 0.7286, 0.8141)
Na (0.4092, 0.4092, 0.7724)
Na (0.5908, 0.5908, 0.2276)